VASP calculation (PBE) on an optimized crystal structure of TmPa2Sb.

Computed properties:
* density: 11.3 Mg/m³
* raw total energy: -6.660 eV/atom
* relative energy among the computed polymorphs: 518.8 meV per atom
* volume: 110.5 Å³/f.u.
* uncorrected formation energy: 0.236 eV/atom

The structure in CIF format:
```
data_TmPa2Sb
_cell_length_a 3.2513
_cell_length_b 3.2513
_cell_length_c 36.2199
_cell_angle_alpha 90.00
_cell_angle_beta 90.00
_cell_angle_gamma 120.00
_symmetry_space_group_name_H-M 'R -3 m'
_symmetry_Int_Tables_number 166
_symmetry_space_group_name_Hall '-R 3 2"'
loop_
_atom_site_label
_atom_site_fract_x
_atom_site_fract_y
_atom_site_fract_z
Tm1 0.0000 0.0000 0.0000
Pa1 0.0000 0.0000 0.4135
Sb1 0.0000 0.0000 0.5000
```